1.
This record from the Alexandria database describes a relaxed structure of ScZnB. The functional is PBE-GGA.

* formation energy from the elements: 1.32 eV/f.u.
* SG: P6_3/mmc (194)

The structure in POSCAR format:
```
ScZnB
1.0
-1.605 0.240 -3.260
0.839 -3.264 1.381
-8.288 -0.418 4.049
Sc Zn B
2 2 2
direct
0.000 0.000 0.000 Sc
0.000 0.000 0.500 Sc
0.333 0.667 0.250 Zn
0.667 0.333 0.750 Zn
0.000 0.000 0.250 B
0.000 0.000 0.750 B
```


2.
This record from the Alexandria database describes a relaxed structure of ScZn3B. The functional is PBE-GGA.

* formation energy from the elements: 8.56 eV/f.u.
* SG: Pm-3m (221)

The structure in POSCAR format:
```
ScZn3B
1.0
5.254 0.000 0.000
0.000 5.254 0.000
0.000 0.000 5.254
Sc Zn B
1 3 1
direct
0.000 0.000 0.000 Sc
0.000 0.500 0.000 Zn
0.000 0.000 0.500 Zn
0.500 0.000 0.000 Zn
0.500 0.500 0.500 B
```


3.
This record from the Alexandria database describes a relaxed structure of ScZnB3. The functional is PBE-GGA.

* formation energy from the elements: 6.08 eV/f.u.
* SG: Pm-3m (221)

The structure in POSCAR format:
```
ScZnB3
1.0
-0.116 -3.294 -2.232
3.341 -1.294 1.736
-2.162 -1.823 2.802
Sc Zn B
1 1 3
direct
0.500 0.500 0.500 Sc
0.000 0.000 0.000 Zn
0.000 0.500 0.000 B
0.000 0.000 0.500 B
0.500 0.000 0.000 B
```


4.
This record from the Alexandria database describes a relaxed structure of ScZnB. The functional is PBE-GGA.

* formation energy from the elements: -0.80 eV/f.u.
* SG: P1 (1)

The structure in POSCAR format:
```
ScZnB
1.0
3.111 -0.003 0.002
1.559 4.429 -0.009
-0.012 -0.162 6.586
Sc Zn B
2 2 2
direct
0.678 0.733 0.688 Sc
0.944 0.199 0.353 Sc
0.667 0.748 0.145 Zn
0.393 0.301 0.981 Zn
0.402 0.285 0.647 B
0.960 0.169 0.709 B
```


5.
This record from the Alexandria database describes a relaxed structure of ScZnB. The functional is PBE-GGA.

* formation energy from the elements: -1.37 eV/f.u.
* SG: R3m (160)

The structure in POSCAR format:
```
ScZnB
1.0
3.151 -0.002 0.004
1.578 2.728 0.005
1.568 0.898 10.101
Sc Zn B
2 2 2
direct
0.543 0.011 0.018 Sc
0.429 0.897 0.360 Sc
0.954 0.420 0.788 Zn
0.686 0.154 0.590 Zn
0.819 0.287 0.189 B
0.153 0.621 0.189 B
```


6.
This record from the Alexandria database describes a relaxed structure of ScZnB. The functional is PBE-GGA.

* formation energy from the elements: -0.78 eV/f.u.
* SG: Pnma (62)

The structure in POSCAR format:
```
ScZnB
1.0
-1.621 -0.162 6.021
0.906 -3.499 0.150
6.598 1.787 1.824
Sc Zn B
4 4 4
direct
0.479 0.250 0.321 Sc
0.021 0.750 0.821 Sc
0.521 0.750 0.679 Sc
0.979 0.250 0.179 Sc
0.850 0.250 0.557 Zn
0.650 0.750 0.057 Zn
0.150 0.750 0.443 Zn
0.350 0.250 0.943 Zn
0.744 0.250 0.881 B
0.756 0.750 0.381 B
0.256 0.750 0.119 B
0.244 0.250 0.619 B
```